Density functional theory data (PBE) for a relaxed Sr2Ac3Pb2 crystal.

electronic total energy: -3.605 eV per atom

Cell lengths 4.9087, 7.1898, 9.5736 Å; angles 108.72, 90.00, 109.96 degrees
Atoms (fractional coordinates):
Sr 0.8513 0.7026 0.2006
Sr 0.1487 0.2974 0.7994
Ac 0.5000 0.0000 0.0000
Ac 0.6302 0.2605 0.4373
Ac 0.3698 0.7395 0.5627
Pb 0.8319 0.6638 0.7990
Pb 0.1681 0.3362 0.2010


Density functional theory data (PBE) for a relaxed CuAs2Cl crystal.

energy relative to the elements, uncorrected: 1.52 eV/f.u.
electronic total energy: -3.431 eV per atom
excess energy over the best structure of this formula in the dataset: 552 meV per atom

Cell lengths 4.6661, 4.6661, 4.6661 Å; angles 120.04, 120.04, 89.93 degrees
Atoms (fractional coordinates):
As 0.0000 0.0000 0.0000
As 0.2500 0.7500 0.5000
Cu 0.7500 0.2500 0.5000
Cl 0.5000 0.5000 0.0000


Density functional theory data (PBE) for a relaxed Mg3NiGe crystal.

electronic total energy: -2.533 eV per atom
excess energy over the best structure of this formula in the dataset: 313 meV per atom

Cell lengths 4.9452, 4.9452, 4.9452 Å; angles 90.00, 90.00, 90.00 degrees
Atoms (fractional coordinates):
Ni 0.5000 0.5000 0.5000
Ge 0.0000 0.0000 0.0000
Mg 0.0000 0.5000 0.0000
Mg 0.0000 0.0000 0.5000
Mg 0.5000 0.0000 0.0000